# TlGaHg2I

Crystalline TlGaHg2I at its relaxed geometry (GGA-PBE, the Alexandria database).

```
5
Lattice="5.348 0.000 0.000 0.000 5.348 0.000 0.000 0.000 6.219" Properties=species:S:1:pos:R:3 pbc="T T T"
Hg 0.000 2.674 0.000
Hg 2.674 0.000 0.000
Tl 2.674 2.674 3.109
I 0.000 0.000 3.109
Ga 0.000 0.000 0.000
```

Results
**Density**: 7.49 Mg/m³
**Energy above the most stable polymorph in this dataset**: 26.2 meV per atom
**Formation energy without anion corrections**: -0.51 eV per formula unit
**Total magnetization**: 0.0 μB per formula unit